# KZrAl | Alexandria via LeMat-Bulk | GGA-PBE | optimized geometry
data_KZrAl
_space_group_name_H-M_alt 'P n m a'
_space_group_IT_number 62
_cell_length_a 8.825
_cell_length_b 4.727
_cell_length_c 8.572
_cell_angle_alpha 90.00
_cell_angle_beta 90.00
_cell_angle_gamma 90.00
loop_
_space_group_symop_operation_xyz
'x,y,z'
'-x,-y,-z'
'-x+1/2,-y,z+1/2'
'x+1/2,y,-z+1/2'
'x+1/2,-y+1/2,-z+1/2'
'-x+1/2,y+1/2,z+1/2'
'-x,y+1/2,-z'
'x,-y+1/2,z'
loop_
_atom_site_label
_atom_site_fract_x
_atom_site_fract_y
_atom_site_fract_z
K1 0.003 0.250 0.138
Zr1 0.106 0.250 0.553
Al1 0.193 0.750 0.352
# Fermi-level density of states in states/eV/f.u.: 1.32
# Formation energy in eV/atom: 0.44
# Volume in Å³ per cell: 358

---

# KZr2Al | Alexandria via LeMat-Bulk | GGA-PBE | optimized geometry
data_KZr2Al
_space_group_name_H-M_alt 'C m m m'
_space_group_IT_number 65
_space_group_name_Hall '-C 2 2'
_cell_length_a 6.460
_cell_length_b 10.341
_cell_length_c 2.920
_cell_angle_alpha 90.00
_cell_angle_beta 90.00
_cell_angle_gamma 90.00
loop_
_atom_site_label
_atom_site_fract_x
_atom_site_fract_y
_atom_site_fract_z
K1 0.000 0.000 0.000
Zr1 0.250 0.250 0.500
Al1 0.000 0.500 0.000
# Fermi-level density of states in states/eV/f.u.: 3.54
# Formation energy in eV/atom: 0.68
# Volume in Å³ per cell: 195

---

# KZrAl | Alexandria via LeMat-Bulk | GGA-PBE | optimized geometry
data_KZrAl
_space_group_name_H-M_alt 'P 63/m m c'
_space_group_IT_number 194
_space_group_name_Hall '-P 6c 2c'
_cell_length_a 5.7078
_cell_length_b 5.7078
_cell_length_c 10.7540
_cell_angle_alpha 90.00
_cell_angle_beta 90.00
_cell_angle_gamma 120.00
loop_
_atom_site_label
_atom_site_fract_x
_atom_site_fract_y
_atom_site_fract_z
K1 0.3333 0.6667 0.2500
Zr1 0.0000 0.0000 0.0000
Al1 0.0000 0.0000 0.2500
# Fermi-level density of states in states/eV/f.u.: 4.09
# Formation energy in eV/atom: 1.52
# Volume in Å³ per cell: 303

---

# KZrAl | Alexandria via LeMat-Bulk | GGA-PBE | optimized geometry
data_KZrAl
_space_group_name_H-M_alt 'C 1 m 1'
_space_group_IT_number 8
_cell_length_a 8.261
_cell_length_b 4.774
_cell_length_c 12.000
_cell_angle_alpha 90.00
_cell_angle_beta 104.95
_cell_angle_gamma 90.00
loop_
_space_group_symop_operation_xyz
'x,y,z'
'x,-y,z'
'x+1/2,y+1/2,z'
'x+1/2,-y+1/2,z'
loop_
_atom_site_label
_atom_site_fract_x
_atom_site_fract_y
_atom_site_fract_z
K1 0.000 0.000 0.000
K2 0.236 0.000 0.636
Zr1 0.118 0.000 0.318
Zr2 0.451 0.000 0.318
Al1 0.243 0.500 0.208
Al2 0.326 0.500 0.428
# Fermi-level density of states in states/eV/f.u.: 0.51
# Formation energy in eV/atom: 0.12
# Volume in Å³ per cell: 457

---

# KZr2Al | Alexandria via LeMat-Bulk | GGA-PBE | optimized geometry
data_KZr2Al
_space_group_name_H-M_alt 'P 1 m 1'
_space_group_IT_number 6
_cell_length_a 3.304
_cell_length_b 3.843
_cell_length_c 9.042
_cell_angle_alpha 90.00
_cell_angle_beta 90.09
_cell_angle_gamma 90.00
loop_
_space_group_symop_operation_xyz
'x,y,z'
'x,-y,z'
loop_
_atom_site_label
_atom_site_fract_x
_atom_site_fract_y
_atom_site_fract_z
K1 0.000 0.000 0.000
Zr1 0.496 0.500 0.366
Zr2 0.997 0.000 0.559
Al1 0.498 0.500 0.707
# Fermi-level density of states in states/eV/f.u.: 4.24
# Formation energy in eV/atom: 0.24
# Volume in Å³ per cell: 115

---

# KZrAl4 | Alexandria via LeMat-Bulk | GGA-PBE | optimized geometry
data_KZrAl4
_space_group_name_H-M_alt 'F -4 3 m'
_space_group_IT_number 216
_space_group_name_Hall 'F -4 2 3'
_cell_length_a 7.853
_cell_length_b 7.853
_cell_length_c 7.853
_cell_angle_alpha 90.00
_cell_angle_beta 90.00
_cell_angle_gamma 90.00
loop_
_atom_site_label
_atom_site_fract_x
_atom_site_fract_y
_atom_site_fract_z
K1 0.000 0.000 0.000
Zr1 0.250 0.250 0.750
Al1 0.124 0.124 0.376
# Fermi-level density of states in states/eV/f.u.: 3.50
# Formation energy in eV/atom: 0.04
# Volume in Å³ per cell: 484